Below is a geometry-optimized CsVF3 structure, with properties calculated at the PBE+U level.

Computed properties:
As for the symmetry: P1 (1). The calculation puts the total energy at -5.28 eV/atom.

abc: 8.6483 6.8418 4.6573
angles: 91.41 69.49 66.08
Site moments in Bohr magnetons follow the coordinates.
Atoms (fractional coordinates):
F 0.6434 0.8830 0.3499  0.02
F 0.0572 0.7490 0.5657  0.00
F 0.6470 0.4598 0.3729  0.01
F 0.3379 0.6393 0.9401  0.01
F 0.3611 0.9986 0.9690  0.01
F 0.0498 0.1757 0.5388  -0.01
Cs 0.6716 0.1575 0.8593  0.00
Cs 0.0299 0.4757 0.0526  0.00
V 0.4889 0.7564 0.5927  1.40
V 0.2120 0.8779 0.3225  2.33